Entry 1:
Material: Sc3HgC
Method: DFT, meta-GGA SCAN
State: single point on PBEsol structure

Total magnetization = 0.00 μB per formula unit
Mass density = 6.40 g/cm³
Crystal system = cubic
Energy of formation = -0.76 eV per atom

a b c (Å): 4.485 4.485 4.485
angles (deg): 90.00 90.00 90.00
Fractional positions:
Sc 0.000 0.000 0.500
Sc 0.000 0.500 0.000
Sc 0.500 0.000 0.000
Hg 0.500 0.500 0.500
C 0.000 0.000 0.000


Entry 2:
Material: ScHg3C
Method: DFT, meta-GGA SCAN
State: single point on PBEsol structure

Total magnetization = 0.00 μB per formula unit
Mass density = 11.00 g/cm³
Crystal system = cubic
Energy of formation = 0.91 eV per atom

a b c (Å): 4.633 4.633 4.633
angles (deg): 90.00 90.00 90.00
Fractional positions:
C 0.000 0.000 0.000
Hg 0.000 0.000 0.500
Hg 0.500 0.000 0.000
Hg 0.000 0.500 0.000
Sc 0.500 0.500 0.500


Entry 3:
Material: Sc3HgC
Method: DFT, meta-GGA SCAN
State: single point on PBEsol structure

Total magnetization = 0.00 μB per formula unit
Mass density = 6.42 g/cm³
Crystal system = tetragonal
Energy of formation = -0.77 eV per atom

a b c (Å): 6.309 6.348 6.309
angles (deg): 60.20 90.00 119.80
Fractional positions:
Sc 0.786 0.000 0.714
Sc 0.714 0.000 0.214
Sc 0.250 0.500 0.750
Sc 0.750 0.500 0.250
Sc 0.214 0.000 0.286
Sc 0.286 0.000 0.786
Hg 0.750 0.500 0.750
Hg 0.250 0.500 0.250
C 0.500 0.000 0.500
C 0.000 0.000 0.000


Entry 4:
Material: SrHg2CSe
Method: DFT, meta-GGA SCAN
State: single point on PBEsol structure

Total magnetization = 4.00 μB per formula unit
Total DFT energy (no corrections) = -36.563 eV per atom
Mass density = 5.39 g/cm³
Crystal system = tetragonal

a b c (Å): 4.708 6.160 6.160
angles (deg): 90.00 90.00 90.00
Last column: magnetic moment on the atom in μB.
Fractional positions:
Se 0.500 0.500 0.500  0.69
Sr 0.000 0.000 0.000  0.20
Hg 0.000 0.000 0.500  0.03
Hg 0.000 0.500 0.000  0.03
C 0.500 0.000 0.000  1.23


Entry 5:
Material: Si2HgC
Method: DFT, meta-GGA SCAN
State: single point on PBEsol structure

Total magnetization = 0.00 μB per formula unit
Total DFT energy (no corrections) = -24.110 eV per atom
Mass density = 6.99 g/cm³
Crystal system = tetragonal

a b c (Å): 5.315 5.877 5.315
angles (deg): 63.12 90.00 116.88
Fractional positions:
C 0.250 0.500 0.250
C 0.500 0.000 0.500
Hg 0.750 0.500 0.750
Hg 0.000 0.000 0.000
Si 0.531 0.750 0.375
Si 0.375 0.250 0.219
Si 0.219 0.750 0.875
Si 0.875 0.250 0.531


Entry 6:
Material: Sn3HgC
Method: DFT, meta-GGA SCAN
State: single point on PBEsol structure

Total magnetization = 0.00 μB per formula unit
Mass density = 8.68 g/cm³
Crystal system = cubic
Energy of formation = 0.97 eV per atom

a b c (Å): 4.774 4.774 4.774
angles (deg): 90.00 90.00 90.00
Fractional positions:
Sn 0.500 0.000 0.000
Sn 0.000 0.500 0.000
Sn 0.000 0.000 0.500
Hg 0.500 0.500 0.500
C 0.000 0.000 0.000


Entry 7:
Material: Sr2HgC
Method: DFT, meta-GGA SCAN
State: single point on PBEsol structure

Total magnetization = 0.00 μB per formula unit
Mass density = 6.75 g/cm³
Crystal system = cubic
Energy of formation = 0.39 eV per atom

a b c (Å): 5.130 5.130 5.130
angles (deg): 60.00 60.00 60.00
Fractional positions:
C 0.000 0.000 0.000
Sr 0.250 0.250 0.250
Sr 0.750 0.750 0.750
Hg 0.500 0.500 0.500


Entry 8:
Material: Sr2HgC
Method: DFT, meta-GGA SCAN
State: single point on PBEsol structure

Total magnetization = 0.97 μB per formula unit
Mass density = 5.56 g/cm³
Crystal system = tetragonal
Energy of formation = 0.37 eV per atom

a b c (Å): 6.701 6.701 6.701
angles (deg): 69.30 71.14 108.86
Last column: magnetic moment on the atom in μB.
Fractional positions:
Hg 0.500 0.250 0.250  -0.01
Hg 0.000 0.000 0.000  -0.01
C 0.000 0.500 0.500  0.51
C 0.500 0.750 0.750  0.51
Sr 0.082 0.457 0.125  0.03
Sr 0.918 0.793 0.625  0.03
Sr 0.418 0.625 0.457  0.03
Sr 0.582 0.125 0.793  0.03


Entry 9:
Material: SrHgC3
Method: DFT, meta-GGA SCAN
State: single point on PBEsol structure

Total magnetization = 4.76 μB per formula unit
Mass density = 5.47 g/cm³
Crystal system = cubic
Energy of formation = 3.63 eV per atom

a b c (Å): 4.618 4.618 4.618
angles (deg): 90.00 90.00 90.00
Last column: magnetic moment on the atom in μB.
Fractional positions:
C 0.500 0.000 0.000  0.77
C 0.000 0.500 0.000  0.77
C 0.000 0.000 0.500  0.77
Hg 0.500 0.500 0.500  0.01
Sr 0.000 0.000 0.000  0.18


Entry 10:
Material: TcHg3C
Method: DFT, meta-GGA SCAN
State: single point on PBEsol structure

Total magnetization = 2.88 μB per formula unit
Mass density = 13.24 g/cm³
Crystal system = cubic
Energy of formation = 1.66 eV per atom

a b c (Å): 4.469 4.469 4.469
angles (deg): 90.00 90.00 90.00
Last column: magnetic moment on the atom in μB.
Fractional positions:
Hg 0.000 0.000 0.500  -0.04
Hg 0.000 0.500 0.000  -0.04
Hg 0.500 0.000 0.000  -0.04
Tc 0.500 0.500 0.500  2.84
C 0.000 0.000 0.000  0.08


Entry 11:
Material: Ti3HgC
Method: DFT, meta-GGA SCAN
State: single point on PBEsol structure

Total magnetization = 0.27 μB per formula unit
Mass density = 8.08 g/cm³
Crystal system = cubic
Energy of formation = -0.66 eV per atom

a b c (Å): 4.182 4.182 4.182
angles (deg): 90.00 90.00 90.00
Last column: magnetic moment on the atom in μB.
Fractional positions:
Ti 0.000 0.500 0.500  0.08
Ti 0.500 0.000 0.500  0.08
Ti 0.500 0.500 0.000  0.08
Hg 0.000 0.000 0.000  0.00
C 0.500 0.500 0.500  -0.01


Entry 12:
Material: ZnHgC3
Method: DFT, meta-GGA SCAN
State: single point on PBEsol structure

Total magnetization = 0.00 μB per formula unit
Mass density = 7.82 g/cm³
Crystal system = cubic
Energy of formation = 2.96 eV per atom

a b c (Å): 4.003 4.003 4.003
angles (deg): 90.00 90.00 90.00
Fractional positions:
C 0.000 0.000 0.500
C 0.500 0.000 0.000
C 0.000 0.500 0.000
Zn 0.000 0.000 0.000
Hg 0.500 0.500 0.500